# 1
DFT (PBE) results for crystalline Pr2TmAl4Au3 at its relaxed geometry.

Cell lengths 4.358, 4.358, 11.707 Å; angles 90.00, 90.00, 90.00 degrees
Fractional positions:
Al: 0.000 0.500 0.335
Al: 0.500 0.500 0.000
Al: 0.000 0.000 0.000
Al: 0.500 0.000 0.665
Pr: 0.500 0.000 0.234
Pr: 0.000 0.500 0.766
Au: 0.000 0.500 0.121
Au: 0.500 0.000 0.879
Au: 0.000 0.000 0.500
Tm: 0.500 0.500 0.500

Output
formation energy: -0.63 eV/atom
DFT total energy: -45.17 eV per cell

# 2
DFT (PBE) results for crystalline PrTm2AlAu4 at its relaxed geometry.

Cell lengths 4.893, 4.893, 9.074 Å; angles 74.36, 74.36, 60.00 degrees
Fractional positions:
Tm: 0.239 0.239 0.284
Tm: 0.761 0.761 0.716
Au: 0.876 0.876 0.371
Au: 0.394 0.394 0.818
Au: 0.606 0.606 0.182
Au: 0.124 0.124 0.629
Al: 0.500 0.500 0.500
Pr: 0.000 0.000 0.000

Output
formation energy: -0.74 eV/atom
DFT total energy: -36.50 eV per cell

# 3
DFT (PBE) results for crystalline PrYAlAu at its relaxed geometry.

Cell lengths 5.247, 5.247, 5.247 Å; angles 60.00, 60.00, 60.00 degrees
Fractional positions:
Y: 0.750 0.750 0.750
Pr: 0.250 0.250 0.250
Au: 0.000 0.000 0.000
Al: 0.500 0.500 0.500

Output
formation energy: -0.52 eV/atom
DFT total energy: -20.33 eV per cell

# 4
DFT (PBE) results for crystalline Pr2AlZn4Au3 at its relaxed geometry.

Cell lengths 4.214, 4.214, 11.545 Å; angles 90.00, 90.00, 90.00 degrees
Fractional positions:
Zn: 0.500 0.500 0.000
Zn: 0.000 0.500 0.364
Zn: 0.500 0.000 0.636
Zn: 0.000 0.000 0.000
Au: 0.000 0.000 0.500
Au: 0.000 0.500 0.142
Au: 0.500 0.000 0.858
Pr: 0.000 0.500 0.746
Pr: 0.500 0.000 0.254
Al: 0.500 0.500 0.500

Output
formation energy: -0.51 eV/atom
DFT total energy: -33.37 eV per cell

# 5
DFT (PBE) results for crystalline Pr2Al3Zn4Au at its relaxed geometry.

Cell lengths 4.291, 4.291, 10.836 Å; angles 90.00, 90.00, 90.00 degrees
Fractional positions:
Zn: 0.000 0.000 0.000
Zn: 0.500 0.500 0.000
Zn: 0.500 0.000 0.640
Zn: 0.000 0.500 0.360
Al: 0.500 0.000 0.869
Al: 0.000 0.000 0.500
Al: 0.000 0.500 0.131
Pr: 0.500 0.000 0.246
Pr: 0.000 0.500 0.754
Au: 0.500 0.500 0.500

Output
formation energy: -0.43 eV/atom
DFT total energy: -33.43 eV per cell

# 6
DFT (PBE) results for crystalline PrAlZn4Au2 at its relaxed geometry.

Cell lengths 4.397, 4.397, 9.353 Å; angles 76.40, 76.40, 60.00 degrees
Fractional positions:
Zn: 0.873 0.873 0.381
Zn: 0.127 0.127 0.619
Zn: 0.399 0.399 0.804
Zn: 0.601 0.601 0.196
Au: 0.757 0.757 0.729
Au: 0.243 0.243 0.271
Pr: 0.000 0.000 0.000
Al: 0.500 0.500 0.500

Output
formation energy: -0.28 eV/atom
DFT total energy: -22.39 eV per cell